# SmScZn

A relaxed SmScZn crystal (PBE, the Alexandria database).

Properties
Calculated formation energy: -0.192 eV per atom
Volume: 144.9 Å³/cell
Energy above the most stable polymorph in this dataset: 13 meV/atom

Unit cell a=3.4875 b=3.4875 c=11.9126 alpha=90.00 beta=90.00 gamma=90.00
Closest atoms and distances in Å follow each position.
Space group I4mm (No. 107)
Asymmetric unit:
1 Sm 0.0000 0.0000 0.0000  4 Zn 3.19, 5 Sc 3.46-3.51, 4 Sm 3.49
2 Sc 0.0000 0.0000 0.2907  4 Zn 2.86
3 Zn 0.0000 0.0000 0.6698  4 Sc 2.86, 4 Sm 3.19

=====

# BeCrBr2

A relaxed BeCrBr2 crystal (PBE, the Alexandria database).

Properties
Volume: 204.5 Å³/cell
Formation energy (no corrections): -0.0170 eV/atom
Energy above the most stable polymorph in this dataset: 56 meV/atom

Unit cell a=3.3311 b=6.7551 c=9.0870 alpha=90.00 beta=90.00 gamma=90.00
Closest atoms and distances in Å follow each position.
Space group Cmm2 (No. 35)
Asymmetric unit:
1 Be 0.0000 0.0000 0.0000  2 Br 2.19
2 Cr 0.0000 0.5000 0.7799  2 Br 2.47, 2 Be 2.60
3 Br 0.0000 0.0000 0.5796  2 Cr 2.47
4 Br 0.0000 0.5000 0.1565  2 Be 2.19

=====

# FeRe2Si2

A relaxed FeRe2Si2 crystal (PBE, the Alexandria database).

Properties
Volume: 129.0 Å³/cell
Formation energy (no corrections): -0.1344 eV/atom

Unit cell a=5.7719 b=5.7719 c=3.8712 alpha=90.00 beta=90.00 gamma=90.00
Closest atoms and distances in Å follow each position.
Space group P4/mbm (No. 127)
Asymmetric unit:
1 Fe 0.0000 0.0000 0.0000  4 Si 2.23
2 Re 0.1768 0.3232 0.5000  6 Si 2.44-2.67
3 Si 0.1410 0.6410 0.0000  2 Fe 2.23, 1 Si 2.30, 2 Re 2.44